Record 1
A relaxed structure of HoTmZn3, computed with GGA-PBE.

It has space group Cmcm (No. 63), with a = 3.566 Å, b = 26.544 Å, c = 4.449 Å, α = 90.00°, β = 90.00° and γ = 90.00°. Symmetry generates all atoms from Ho at (0.000, 0.073, 0.250), Tm at (0.000, 0.210, 0.750), Zn at (0.000, 0.327, 0.750), Zn at (0.000, 0.381, 0.250) and Zn at (0.000, 0.477, 0.250).

The value obtained for the magnetic moment is 0.0000 μB per atom. The formation enthalpy at 0 K comes out at -1.7 eV/f.u.



Record 2
A relaxed structure of Ho2TmZn6, computed with GGA-PBE.

It has space group P6/mmm (No. 191), with a = 7.7182 Å, b = 7.7182 Å, c = 3.4634 Å, α = 90.00°, β = 90.00° and γ = 120.00°. Symmetry generates all atoms from Ho at (0.3333, 0.6667, 0.0000), Tm at (0.0000, 0.0000, 0.0000) and Zn at (0.0000, 0.3326, 0.5000).

The value obtained for the magnetic moment is 0.0000 μB per atom. The formation enthalpy at 0 K comes out at -3.4 eV/f.u.



Record 3
A relaxed structure of Ho3TmZn, computed with GGA-PBE.

It has space group C2/m (No. 12), with a = 28.864 Å, b = 3.581 Å, c = 5.326 Å, α = 90.00°, β = 90.03° and γ = 90.00°. Symmetry generates all atoms from Ho at (0.046, 0.000, 0.249), Ho at (0.125, 0.000, 0.750), Ho at (0.159, 0.500, 0.250), Tm at (0.232, 0.500, 0.750) and Zn at (0.040, 0.500, 0.748).

The value obtained for the magnetic moment is 0.0000 μB per atom. The formation enthalpy at 0 K comes out at -0.7 eV/f.u.



Record 4
A relaxed structure of HoTm3Zn8, computed with GGA-PBE.

It has space group R3m (No. 160, hexagonal axes), with a = 5.4325 Å, b = 5.4325 Å, c = 26.4434 Å, α = 90.00°, β = 90.00° and γ = 120.00°. Symmetry generates all atoms from Ho at (0.0000, 0.0000, 0.0000), Tm at (0.0000, 0.0000, 0.1248), Tm at (0.0000, 0.0000, 0.4999), Tm at (0.0000, 0.0000, 0.6246), Zn at (0.0000, 0.0000, 0.3124), Zn at (0.0000, 0.0000, 0.8123), Zn at (0.0004, 0.5002, 0.0626) and Zn at (0.9996, 0.4998, 0.5621).

The value obtained for the magnetic moment is 0.0000 μB per atom. The formation enthalpy at 0 K comes out at -4.0 eV/f.u.



Record 5
A relaxed structure of Ho2TmZn2, computed with GGA-PBE.

It has space group Immm (No. 71), with a = 4.721 Å, b = 6.437 Å, c = 8.018 Å, α = 90.00°, β = 90.00° and γ = 90.00°. Symmetry generates all atoms from Ho at (0.000, 0.000, 0.201), Tm at (0.000, 0.500, 0.000) and Zn at (0.000, 0.298, 0.500).

The value obtained for the magnetic moment is 0.0000 μB per atom. The formation enthalpy at 0 K comes out at -1.0 eV/f.u.



Record 6
A relaxed structure of Ho4TmZn, computed with GGA-PBE.

It has space group C2/c (No. 15), with a = 8.705 Å, b = 13.446 Å, c = 6.166 Å, α = 90.00°, β = 108.57° and γ = 90.00°. Symmetry generates all atoms from Ho at (0.103, 0.183, 0.047), Ho at (0.222, 0.386, 0.376), Tm at (0.000, 0.405, 0.750) and Zn at (0.000, 0.000, 0.250).

The value obtained for the magnetic moment is 0.0000 μB per atom. The formation enthalpy at 0 K comes out at 0.0 eV/f.u.



Record 7
A relaxed structure of Ho4TmZn4, computed with GGA-PBE.

It has space group P4_2/n (No. 86, origin choice 2), with a = 8.704 Å, b = 8.704 Å, c = 6.065 Å, α = 90.00°, β = 90.00° and γ = 90.00°. Symmetry generates all atoms from Ho at (0.036, 0.659, 0.147), Tm at (0.250, 0.250, 0.250) and Zn at (0.026, 0.631, 0.619).

The value obtained for the magnetic moment is 0.0000 μB per atom. The formation enthalpy at 0 K comes out at -0.6 eV/f.u.



Record 8
A relaxed structure of HoTm2Zn2, computed with GGA-PBE.

It has space group P2_1/m (No. 11), with a = 3.558 Å, b = 5.094 Å, c = 13.166 Å, α = 90.00°, β = 97.77° and γ = 90.00°. Symmetry generates all atoms from Ho at (0.145, 0.250, 0.288), Tm at (0.046, 0.750, 0.092), Tm at (0.232, 0.750, 0.465), Zn at (0.360, 0.250, 0.720) and Zn at (0.452, 0.750, 0.903).

The value obtained for the magnetic moment is 0.0000 μB per atom. The formation enthalpy at 0 K comes out at -1.4 eV/f.u.



Record 9
A relaxed structure of Ho3TmZn8, computed with GGA-PBE.

It has space group R3m (No. 160, hexagonal axes), with a = 5.4467 Å, b = 5.4467 Å, c = 26.5239 Å, α = 90.00°, β = 90.00° and γ = 120.00°. Symmetry generates all atoms from Ho at (0.0000, 0.0000, 0.0000), Ho at (0.0000, 0.0000, 0.1248), Ho at (0.0000, 0.0000, 0.5003), Tm at (0.0000, 0.0000, 0.6250), Zn at (0.0000, 0.0000, 0.3126), Zn at (0.0000, 0.0000, 0.8125), Zn at (0.9997, 0.4998, 0.0623) and Zn at (0.0004, 0.5002, 0.5627).

The value obtained for the magnetic moment is 0.0000 μB per atom. The formation enthalpy at 0 K comes out at -4.0 eV/f.u.



Record 10
A relaxed structure of HoTm2Zn4, computed with GGA-PBE.

It has space group I4/mmm (No. 139), with a = 6.956 Å, b = 6.956 Å, c = 6.909 Å, α = 90.00°, β = 90.00° and γ = 90.00°. Symmetry generates all atoms from Ho at (0.000, 0.000, 0.000), Tm at (0.000, 0.500, 0.000) and Zn at (0.250, 0.250, 0.250).

The value obtained for the magnetic moment is 0.0000 μB per atom. The formation enthalpy at 0 K comes out at -1.3 eV/f.u.



Record 11
A relaxed structure of Ho2Tm3Zn2, computed with GGA-PBE.

It has space group C2/m (No. 12), with a = 9.000 Å, b = 5.186 Å, c = 8.208 Å, α = 90.00°, β = 111.41° and γ = 90.00°. Symmetry generates all atoms from Ho at (0.081, 0.000, 0.241), Tm at (0.000, 0.500, 0.500), Tm at (0.156, 0.500, 0.969) and Zn at (0.214, 0.000, 0.643).

The value obtained for the magnetic moment is 0.0000 μB per atom. The formation enthalpy at 0 K comes out at -0.9 eV/f.u.